First-principles (GGA-PBE) data for a geometry-optimized Ca3TlO structure, as listed in the Alexandria database.

```
Ca3TlO
1.0
9.065 0.000 0.000
0.000 7.344 0.000
-7.576 0.000 9.055
Ca Tl O
12 4 4
Direct
0.028 0.045 0.242
0.028 0.455 0.742
0.270 0.131 0.615
0.270 0.369 0.115
0.430 0.710 0.981
0.430 0.790 0.481
0.570 0.210 0.519
0.570 0.290 0.019
0.730 0.631 0.885
0.730 0.869 0.385
0.972 0.545 0.258
0.972 0.955 0.758
0.185 0.683 0.597
0.185 0.817 0.097
0.815 0.183 0.903
0.815 0.317 0.403
0.312 0.076 0.457
0.312 0.424 0.957
0.688 0.576 0.043
0.688 0.924 0.543
```

## Properties
space-group type: P2_1/c, No. 14
raw formation energy: -1237 meV/atom

***

First-principles (GGA-PBE) data for a geometry-optimized Ca2TlO structure, as listed in the Alexandria database.

```
Ca2TlO
1.0
1.788 1.033 7.934
-1.788 1.033 7.934
0.000 -2.065 7.934
Ca Tl O
2 1 1
Direct
0.224 0.224 0.224
0.776 0.776 0.776
0.000 0.000 0.000
0.500 0.500 0.500
```

## Properties
space-group type: R-3m, No. 166
energy above the lowest structure with this stoichiometry: 0.00 kJ per mole of atoms
raw formation energy: -1533 meV/atom

***

First-principles (GGA-PBE) data for a geometry-optimized Ca3TlO structure, as listed in the Alexandria database.

```
Ca3TlO
1.0
9.004 -1.970 0.000
9.004 1.970 0.000
-0.898 0.000 8.524
Ca Tl O
6 2 2
Direct
0.001 0.001 0.274
0.206 0.206 0.337
0.326 0.326 0.030
0.674 0.674 0.970
0.794 0.794 0.663
0.999 0.999 0.726
0.393 0.393 0.455
0.607 0.607 0.545
0.205 0.205 0.088
0.795 0.795 0.912
```

## Properties
space-group type: C2/m, No. 12
raw formation energy: -1241 meV/atom

***

First-principles (GGA-PBE) data for a geometry-optimized Ca3TlO structure, as listed in the Alexandria database.

```
Ca3TlO
1.0
4.551 0.000 0.000
0.000 4.551 0.000
0.000 0.000 9.157
Ca Tl O
3 1 1
Direct
0.000 0.000 0.000
0.000 0.500 0.621
0.500 0.000 0.621
0.000 0.000 0.340
0.500 0.500 0.633
```

## Properties
space-group type: P4mm, No. 99
raw formation energy: -801 meV/atom

***

First-principles (GGA-PBE) data for a geometry-optimized CaTlO2 structure, as listed in the Alexandria database.

```
CaTlO2
1.0
0.000 3.078 3.078
3.078 0.000 3.078
3.078 3.078 0.000
Ca Tl O
1 1 2
Direct
0.000 0.000 0.000
0.500 0.500 0.500
0.250 0.250 0.250
0.750 0.750 0.750
```

## Properties
space-group type: Fm-3m, No. 225
raw formation energy: -1272 meV/atom

***

First-principles (GGA-PBE) data for a geometry-optimized Ca6Tl2O structure, as listed in the Alexandria database.

```
Ca6Tl2O
1.0
0.000 5.006 5.006
5.006 0.000 5.006
5.006 5.006 0.000
Ca Tl O
6 2 1
Direct
0.243 0.243 0.757
0.243 0.757 0.243
0.243 0.757 0.757
0.757 0.243 0.243
0.757 0.243 0.757
0.757 0.757 0.243
0.250 0.250 0.250
0.750 0.750 0.750
0.000 0.000 0.000
```

## Properties
space-group type: Fm-3m, No. 225
raw formation energy: -854 meV/atom

***

First-principles (GGA-PBE) data for a geometry-optimized Ca3TlO structure, as listed in the Alexandria database.

```
Ca3TlO
1.0
3.555 -6.087 0.000
3.555 6.087 0.000
0.000 0.000 7.252
Ca Tl O
6 2 2
Direct
0.000 0.000 0.000
0.000 0.000 0.500
0.042 0.456 0.250
0.456 0.042 0.750
0.544 0.958 0.250
0.958 0.544 0.750
0.452 0.548 0.750
0.548 0.452 0.250
0.107 0.893 0.750
0.893 0.107 0.250
```

## Properties
space-group type: Cmcm, No. 63
raw formation energy: -1154 meV/atom

***

First-principles (GGA-PBE) data for a geometry-optimized Ca3TlO structure, as listed in the Alexandria database.

```
Ca3TlO
1.0
0.000 6.567 6.567
6.567 0.000 6.567
6.567 6.567 0.000
Ca Tl O
12 4 4
Direct
0.062 0.062 0.688
0.062 0.688 0.062
0.062 0.688 0.688
0.312 0.312 0.938
0.312 0.938 0.312
0.312 0.938 0.938
0.688 0.062 0.062
0.688 0.062 0.688
0.688 0.688 0.062
0.938 0.312 0.312
0.938 0.312 0.938
0.938 0.938 0.312
0.000 0.500 0.500
0.500 0.000 0.500
0.500 0.500 0.000
0.500 0.500 0.500
0.000 0.000 0.000
0.000 0.000 0.500
0.000 0.500 0.000
0.500 0.000 0.000
```

## Properties
space-group type: Fd-3m, No. 227
raw formation energy: -1034 meV/atom

***

First-principles (GGA-PBE) data for a geometry-optimized CaTl2O structure, as listed in the Alexandria database.

```
CaTl2O
1.0
-5.023 5.023 2.190
5.023 -5.023 2.190
5.023 5.023 -2.190
Ca Tl O
2 4 2
Direct
0.000 0.000 0.000
0.750 0.250 0.500
0.246 0.625 0.121
0.375 0.496 0.621
0.504 0.125 0.879
0.875 0.754 0.379
0.250 0.750 0.500
0.500 0.500 0.000
```

## Properties
space-group type: I-42d, No. 122
energy above the lowest structure with this stoichiometry: 0.00 kJ per mole of atoms
raw formation energy: -804 meV/atom

***

First-principles (GGA-PBE) data for a geometry-optimized CaTlO2 structure, as listed in the Alexandria database.

```
CaTlO2
1.0
6.225 0.000 0.000
0.000 3.308 0.000
0.000 0.000 12.295
Ca Tl O
4 4 8
Direct
0.047 0.250 0.125
0.453 0.750 0.625
0.547 0.250 0.375
0.953 0.750 0.875
0.053 0.250 0.378
0.447 0.750 0.878
0.553 0.250 0.122
0.947 0.750 0.622
0.214 0.750 0.025
0.216 0.250 0.790
0.284 0.750 0.290
0.286 0.250 0.525
0.714 0.750 0.475
0.716 0.250 0.710
0.784 0.750 0.210
0.786 0.250 0.975
```

## Properties
space-group type: Pnma, No. 62
raw formation energy: -1448 meV/atom

***

First-principles (GGA-PBE) data for a geometry-optimized Ca3TlO structure, as listed in the Alexandria database.

```
Ca3TlO
1.0
3.921 0.000 0.000
0.000 8.701 0.000
-1.953 0.000 8.629
Ca Tl O
6 2 2
Direct
0.007 0.250 0.017
0.347 0.545 0.689
0.347 0.955 0.689
0.653 0.045 0.311
0.653 0.455 0.311
0.993 0.750 0.983
0.176 0.750 0.357
0.824 0.250 0.643
0.425 0.750 0.846
0.575 0.250 0.154
```

## Properties
space-group type: P2_1/m, No. 11
raw formation energy: -1280 meV/atom

***

First-principles (GGA-PBE) data for a geometry-optimized Ca3TlO structure, as listed in the Alexandria database.

```
Ca3TlO
1.0
6.533 0.000 0.000
2.974 5.978 0.000
1.065 -0.301 6.871
Ca Tl O
6 2 2
Direct
0.044 0.358 0.305
0.213 0.750 0.140
0.427 0.753 0.564
0.573 0.247 0.436
0.787 0.250 0.860
0.956 0.642 0.695
0.330 0.163 0.862
0.670 0.837 0.138
0.235 0.557 0.423
0.765 0.443 0.577
```

## Properties
space-group type: P-1, No. 2
raw formation energy: -1284 meV/atom

***

Question: raw formation energy of number 2 (Ca2TlO)?
Answer: -1533 meV/atom

***

Question: Which of these has the lowest raw formation energy?
Answer: Ca2TlO